(1)
Material: Cs2MgFeBr6
Method: DFT, PBE-GGA
State: optimized geometry

Cell lengths 7.633, 7.633, 7.633 Å; angles 60.00, 60.00, 60.00 degrees
Element x y z (fractional)
Cs (0.250, 0.250, 0.250)
Cs (0.750, 0.750, 0.750)
Mg (0.000, 0.000, 0.000)
Fe (0.500, 0.500, 0.500)
Br (0.253, 0.253, 0.747)
Br (0.253, 0.747, 0.253)
Br (0.253, 0.747, 0.747)
Br (0.747, 0.253, 0.253)
Br (0.747, 0.253, 0.747)
Br (0.747, 0.747, 0.253)

Properties
Raw formation energy   -1.246 eV per atom
V   31.450 A^3/atom
Fermi-level density of states   8.0 states/eV/f.u.

***

(2)
Material: CsNaFe2Br8
Method: DFT, PBE-GGA
State: optimized geometry

Cell lengths 6.985, 6.985, 10.782 Å; angles 97.63, 97.63, 67.93 degrees
Element x y z (fractional)
Cs (0.000, 0.000, 0.000)
Na (0.000, 0.000, 0.500)
Fe (0.400, 0.400, 0.715)
Fe (0.600, 0.600, 0.285)
Br (0.233, 0.722, 0.285)
Br (0.263, 0.263, 0.530)
Br (0.278, 0.767, 0.715)
Br (0.318, 0.318, 0.901)
Br (0.682, 0.682, 0.099)
Br (0.722, 0.233, 0.285)
Br (0.737, 0.737, 0.470)
Br (0.767, 0.278, 0.715)

Properties
Raw formation energy   -0.913 eV per atom
V   40.096 A^3/atom